# Sr2Nd2TlNi2O9

Crystalline Sr2Nd2TlNi2O9 at its relaxed geometry (PBE with a Hubbard U, Alexandria).

```
data_Sr2Nd2TlNi2O9
_cell_length_a 5.375
_cell_length_b 29.986
_cell_length_c 5.425
_cell_angle_alpha 90.00
_cell_angle_beta 90.00
_cell_angle_gamma 90.00
_symmetry_space_group_name_H-M 'F m m 2'
_symmetry_Int_Tables_number 42
_symmetry_space_group_name_Hall 'F 2 -2'
loop_
_atom_site_label
_atom_site_type_symbol
_atom_site_fract_x
_atom_site_fract_y
_atom_site_fract_z
Sr1 Sr 0.000 0.084 0.000
Nd1 Nd 0.000 0.203 0.999
Tl1 Tl 0.000 0.000 0.532
Ni1 Ni 0.000 0.147 0.499
O1 O 0.000 0.000 0.962
O2 O 0.000 0.070 0.489
O3 O 0.000 0.219 0.498
O4 O 0.250 0.149 0.249
```

calculated volume	13.7	A^3/atom
size of the total moment	12.000	μB per cell
total DFT energy (no corrections)	-396.29	eV per cell